Entry 1:
# Na2In4Bi3

A relaxed structure of Na2In4Bi3 (PBE, the Alexandria database).

Values from the calculation:
Formation energy from the elements: -0.08 eV/atom
D(E_F): 0.44 states/eV/atom
Spin magnetization: 0.000 μB/cell

a = 7.626 Å, b = 7.626 Å, c = 9.488 Å
α = 98.54°, β = 98.54°, γ = 96.52°
Sites, in units of the cell vectors:
1 Na 0.099 0.830 0.922
2 Na 0.170 0.901 0.578
3 Na 0.830 0.099 0.422
4 Na 0.901 0.170 0.078
5 In 0.145 0.463 0.410
6 In 0.256 0.513 0.095
7 In 0.463 0.145 0.910
8 In 0.487 0.744 0.405
9 In 0.513 0.256 0.595
10 In 0.537 0.855 0.090
11 In 0.744 0.487 0.905
12 In 0.855 0.537 0.590
13 Bi 0.088 0.272 0.793
14 Bi 0.272 0.088 0.293
15 Bi 0.385 0.615 0.750
16 Bi 0.615 0.385 0.250
17 Bi 0.728 0.912 0.707
18 Bi 0.912 0.728 0.207


Entry 2:
# MgZrCr2

A relaxed structure of MgZrCr2 (PBE, the Alexandria database).

Values from the calculation:
Formation energy from the elements: 0.17 eV/atom
D(E_F): 0.94 states/eV/atom
Spin magnetization: 1.024 μB/cell

a = 3.039 Å, b = 3.039 Å, c = 7.436 Å
α = 90.00°, β = 90.00°, γ = 90.00°
Sites, in units of the cell vectors:
1 Mg 0.000 0.000 0.000
2 Zr 0.500 0.500 0.330
3 Cr 0.000 0.000 0.587
4 Cr 0.500 0.500 0.741